A plane-wave DFT calculation with GGA+U was carried out for a geometry-optimized Li5CoO4 structure.

Cell: 8.9957 9.1816 9.1464 Å, 90.00 90.00 90.00°
Fractional coordinates of all 80 atoms:
Li1 0.1067 0.1580 0.1184
Li2 0.1067 0.3420 0.6184
Li3 0.1107 0.6431 0.8894
Li4 0.1107 0.8569 0.3894
Li5 0.1179 0.6047 0.1567
Li6 0.1179 0.8953 0.6567
Li7 0.1233 0.1086 0.8511
Li8 0.1233 0.3914 0.3511
Li9 0.1488 0.1241 0.3797
Li10 0.1488 0.3759 0.8797
Li11 0.3512 0.6241 0.3797
Li12 0.3512 0.8759 0.8797
Li13 0.3767 0.6086 0.8511
Li14 0.3767 0.8914 0.3511
Li15 0.3821 0.1047 0.1567
Li16 0.3821 0.3953 0.6567
Li17 0.3893 0.1431 0.8894
Li18 0.3893 0.3569 0.3894
Li19 0.3933 0.6580 0.1184
Li20 0.3933 0.8420 0.6184
Li21 0.6067 0.1580 0.3816
Li22 0.6067 0.3420 0.8816
Li23 0.6107 0.6431 0.6106
Li24 0.6107 0.8569 0.1106
Li25 0.6179 0.6047 0.3433
Li26 0.6179 0.8953 0.8433
Li27 0.6233 0.1086 0.6489
Li28 0.6233 0.3914 0.1489
Li29 0.6488 0.1241 0.1203
Li30 0.6488 0.3759 0.6203
Li31 0.8512 0.6241 0.1203
Li32 0.8512 0.8759 0.6203
Li33 0.8767 0.6086 0.6489
Li34 0.8767 0.8914 0.1489
Li35 0.8821 0.1047 0.3433
Li36 0.8821 0.3953 0.8433
Li37 0.8893 0.1431 0.6106
Li38 0.8893 0.3569 0.1106
Li39 0.8933 0.6580 0.3816
Li40 0.8933 0.8420 0.8816
Co1 0.1504 0.6193 0.6131
Co2 0.1504 0.8807 0.1131
Co3 0.3496 0.1193 0.6131
Co4 0.3496 0.3807 0.1131
Co5 0.6504 0.6193 0.8869
Co6 0.6504 0.8807 0.3869
Co7 0.8496 0.1193 0.8869
Co8 0.8496 0.3807 0.3869
O1 0.0067 0.7479 0.5354
O2 0.0067 0.7521 0.0354
O3 0.0341 0.5012 0.7448
O4 0.0341 0.9988 0.2448
O5 0.2468 0.7431 0.7458
O6 0.2468 0.7569 0.2458
O7 0.2479 0.0176 0.0052
O8 0.2479 0.4824 0.5052
O9 0.2521 0.5176 0.0052
O10 0.2521 0.9824 0.5052
O11 0.2532 0.2431 0.7458
O12 0.2532 0.2569 0.2458
O13 0.4659 0.0012 0.7448
O14 0.4659 0.4988 0.2448
O15 0.4933 0.2479 0.5354
O16 0.4933 0.2521 0.0354
O17 0.5067 0.7479 0.9646
O18 0.5067 0.7521 0.4646
O19 0.5341 0.5012 0.7552
O20 0.5341 0.9988 0.2552
O21 0.7468 0.7431 0.7542
O22 0.7468 0.7569 0.2542
O23 0.7479 0.0176 0.4948
O24 0.7479 0.4824 0.9948
O25 0.7521 0.5176 0.4948
O26 0.7521 0.9824 0.9948
O27 0.7532 0.2431 0.7542
O28 0.7532 0.2569 0.2542
O29 0.9659 0.0012 0.7552
O30 0.9659 0.4988 0.2552
O31 0.9933 0.2479 0.9646
O32 0.9933 0.2521 0.4646

## Properties
M_tot ... 32.0 μB per cell
E_tot ... -410.90 eV per cell
Crystal system ... orthorhombic